This record from Alexandria via LeMat-Bulk describes KNp2CrO8 after structural relaxation. The functional is PBE with a Hubbard U.

The value obtained for the energy is -102.559 eV per cell. The magnetization is 5.000 Bohr magnetons per cell. As for the crystal system: triclinic.

It has space group P-1 (No. 2), with a = 4.9293 Å, b = 4.9341 Å, c = 7.0833 Å, α = 88.42°, β = 88.39° and γ = 86.45°. The distinct sites, in fractional coordinates, are K at (0.0000, 0.0000, 0.0000), Np at (0.4877, 0.4876, 0.2605), Cr at (0.0000, 0.0000, 0.5000), O at (0.2108, 0.7894, 0.7040), O at (0.2123, 0.7906, 0.2959), O at (0.2989, 0.3004, 0.4882) and O at (0.3368, 0.3396, 0.9597).